Here is LiTiH2 after structural relaxation from Alexandria. Energies are from GGA-PBE.

abc: 2.880 2.880 5.248
angles: 74.07 74.07 60.00
Site moments in Bohr magnetons follow the coordinates.
Fractional positions:
H (0.739, 0.739, 0.782)  0.00
Li (0.500, 0.500, 0.500)  0.04
H (0.261, 0.261, 0.218)  0.00
Ti (0.000, 0.000, 0.000)  0.36

Space-group type: R-3m, No. 166
Calculated total energy (eV/atom): -4.42
Excess energy over the best structure of this formula in the dataset (kJ/mol of atoms): 0.00

Here is AsRu after structural relaxation from Alexandria. Energies are from GGA-PBE.

abc: 8.011 5.222 6.908
angles: 90.00 90.00 90.00
Fractional positions:
As (0.116, 0.519, 0.660)
Ru (0.381, 0.225, 0.450)
Ru (0.606, 0.958, 0.687)
As (0.171, 0.986, 0.304)
As (0.329, 0.014, 0.804)
As (0.829, 0.486, 0.196)
Ru (0.394, 0.458, 0.813)
Ru (0.106, 0.542, 0.313)
Ru (0.119, 0.775, 0.950)
As (0.884, 0.019, 0.840)
As (0.616, 0.981, 0.340)
Ru (0.894, 0.042, 0.187)
As (0.384, 0.481, 0.160)
Ru (0.881, 0.275, 0.550)
Ru (0.619, 0.725, 0.050)
As (0.671, 0.514, 0.696)

Space-group type: P2_12_12_1, No. 19
Calculated total energy (eV/atom): -7.08
Calculated formation energy (eV per formula unit): -0.23

Here is NiP3W after structural relaxation from Alexandria. Energies are from GGA-PBE.

abc: 4.661 4.661 4.661
angles: 90.00 90.00 90.00
Fractional positions:
P (0.500, 0.000, 0.000)
P (0.000, 0.500, 0.000)
Ni (0.500, 0.500, 0.500)
W (0.000, 0.000, 0.000)
P (0.000, 0.000, 0.500)

Space-group type: Pm-3m, No. 221
Calculated total energy (eV/atom): -6.08
Calculated formation energy (eV per formula unit): 4.56
Excess energy over the best structure of this formula in the dataset (kJ/mol of atoms): 0.00

Here is ZrPaNbAu after structural relaxation from Alexandria. Energies are from GGA-PBE.

abc: 4.943 4.943 4.943
angles: 60.00 60.00 60.00
Fractional positions:
Pa (0.500, 0.500, 0.500)
Nb (0.250, 0.250, 0.250)
Zr (0.000, 0.000, 0.000)
Au (0.750, 0.750, 0.750)

Space-group type: F-43m, No. 216
Calculated total energy (eV/atom): -7.94
Calculated formation energy (eV per formula unit): -0.39

What is the calculated total energy in the first record?
-4.42 eV/atom

calculated total energy of number 2 (AsRu)?
-7.08 eV/atom

The highest calculated total energy belongs to which entry?
LiTiH2

Which formula does entry 2 have?
AsRu